# PBE with a Hubbard U CoAg2BiO, optimized geometry
data_CoAg2BiO
_chemical_formula_sum 'Co1 Ag2 Bi1 O1'
_symmetry_space_group_name_H-M 'P 4/m m m'
_symmetry_Int_Tables_number 123
_symmetry_space_group_name_Hall '-P 4 2'
_cell_length_a 4.417
_cell_length_b 4.417
_cell_length_c 5.048
_cell_angle_alpha 90.00
_cell_angle_beta 90.00
_cell_angle_gamma 90.00
loop_
_atom_site_label
_atom_site_type_symbol
_atom_site_fract_x
_atom_site_fract_y
_atom_site_fract_z
Co1 Co 0.000 0.000 0.000
Ag1 Ag 0.000 0.500 0.500
Bi1 Bi 0.500 0.500 0.000
O1 O 0.500 0.500 0.500
# - V (A^3/atom) = 19.70
# - total energy (eV per atom) = -3.5852
# - Fermi-level density of states (states/eV/cell) = 2.4